# 1
Ac4LaPr2Sm | PBE | optimized geometry

abc: 6.7069 3.8740 12.5655
angles: 90.00 100.30 90.00
Atoms (fractional coordinates):
Ac1 0.2490 0.0000 0.2475
Ac2 0.2496 0.5000 0.7520
Ac3 0.7504 0.5000 0.2480
Ac4 0.7510 0.0000 0.7525
La1 0.0000 0.0000 0.5000
Pr1 0.5000 0.0000 0.0000
Pr2 0.5000 0.5000 0.5000
Sm1 0.0000 0.5000 0.0000

**Calculated formation energy**: 0.03 eV/atom


# 2
VRhI2N | PBE | optimized geometry

abc: 5.5897 5.5897 3.6760
angles: 90.00 90.00 90.00
Atoms (fractional coordinates):
V1 0.0000 0.0000 0.0000
Rh1 0.5000 0.5000 0.5000
I1 0.0000 0.5000 0.5000
I2 0.5000 0.0000 0.5000
N1 0.5000 0.5000 0.0000

**ΔE to the lowest computed polymorph**: 362.3 meV per atom
**Formation energy from raw total energies**: 4.5 eV/f.u.


# 3
PrAgPd | PBE | optimized geometry

abc: 6.7612 6.7612 6.7612
angles: 90.00 90.00 90.00
Atoms (fractional coordinates):
Pr1 0.0000 0.0000 0.0000
Pr2 0.0000 0.5000 0.5000
Pr3 0.5000 0.0000 0.5000
Pr4 0.5000 0.5000 0.0000
Ag1 0.0000 0.0000 0.5000
Ag2 0.0000 0.5000 0.0000
Ag3 0.5000 0.0000 0.0000
Ag4 0.5000 0.5000 0.5000
Pd1 0.2500 0.2500 0.2500
Pd2 0.2500 0.7500 0.7500
Pd3 0.7500 0.2500 0.7500
Pd4 0.7500 0.7500 0.2500

**Calculated formation energy**: -0.42 eV/atom
**ΔE to the lowest computed polymorph**: 156.5 meV per atom


# 4
LiEuAgRh | PBE | optimized geometry

abc: 6.7750 6.7750 6.7750
angles: 90.00 90.00 90.00
Atoms (fractional coordinates):
Li1 0.0000 0.0000 0.0000
Li2 0.0000 0.5000 0.5000
Li3 0.5000 0.0000 0.5000
Li4 0.5000 0.5000 0.0000
Eu1 0.2500 0.2500 0.2500
Eu2 0.2500 0.7500 0.7500
Eu3 0.7500 0.2500 0.7500
Eu4 0.7500 0.7500 0.2500
Ag1 0.2500 0.2500 0.7500
Ag2 0.2500 0.7500 0.2500
Ag3 0.7500 0.2500 0.2500
Ag4 0.7500 0.7500 0.7500
Rh1 0.0000 0.0000 0.5000
Rh2 0.0000 0.5000 0.0000
Rh3 0.5000 0.0000 0.0000
Rh4 0.5000 0.5000 0.5000

**Calculated formation energy**: -0.15 eV/atom


# 5
TaTcW2 | PBE | optimized geometry

abc: 2.7850 4.4793 5.2781
angles: 90.00 100.06 90.00
Atoms (fractional coordinates):
Ta1 0.0000 0.0000 0.0000
Tc1 0.7541 0.5000 0.2451
W1 0.2598 0.5000 0.7418
W2 0.5013 0.0000 0.5004

**Calculated formation energy**: -0.08 eV/atom
**ΔE to the lowest computed polymorph**: 80.6 meV per atom


# 6
Mn2TlW | PBE | optimized geometry

abc: 2.9607 2.9607 26.1192
angles: 90.00 90.00 120.00
Atoms (fractional coordinates):
Mn1 0.0000 0.0000 0.0000
Mn2 0.0000 0.0000 0.2604
Mn3 0.3333 0.6667 0.6667
Mn4 0.3333 0.6667 0.9271
Mn5 0.6667 0.3333 0.3333
Mn6 0.6667 0.3333 0.5937
Tl1 0.0000 0.0000 0.7591
Tl2 0.3333 0.6667 0.4258
Tl3 0.6667 0.3333 0.0925
W1 0.0000 0.0000 0.5241
W2 0.3333 0.6667 0.1908
W3 0.6667 0.3333 0.8574

**Calculated formation energy**: 0.69 eV/atom
**ΔE to the lowest computed polymorph**: 227.8 meV per atom


# 7
BeIr | PBE | optimized geometry

abc: 4.5902 4.5902 4.5157
angles: 90.00 90.00 90.00
Atoms (fractional coordinates):
Be1 0.2086 0.2086 0.0000
Be2 0.2914 0.7086 0.5000
Be3 0.7086 0.2914 0.5000
Be4 0.7914 0.7914 0.0000
Ir1 0.2116 0.2116 0.5000
Ir2 0.2884 0.7116 0.0000
Ir3 0.7116 0.2884 0.0000
Ir4 0.7884 0.7884 0.5000

**Calculated formation energy**: 0.07 eV/atom


# 8
Ti4AlP | PBE | optimized geometry

abc: 8.9914 8.9914 5.1572
angles: 90.00 90.00 149.99
Atoms (fractional coordinates):
Ti1 0.0595 0.9405 0.7500
Ti2 0.2049 0.7951 0.0006
Ti3 0.2049 0.7951 0.4994
Ti4 0.3843 0.6157 0.7500
Ti5 0.6157 0.3843 0.2500
Ti6 0.7951 0.2049 0.5006
Ti7 0.7951 0.2049 0.9994
Ti8 0.9405 0.0595 0.2500
Al1 0.3479 0.6521 0.2500
Al2 0.6521 0.3479 0.7500
P1 0.0789 0.9211 0.2500
P2 0.9211 0.0789 0.7500

**Calculated formation energy**: -0.46 eV/atom


# 9
AcCuGe | PBE | optimized geometry

abc: 6.7393 6.7393 6.7393
angles: 90.00 90.00 90.00
Atoms (fractional coordinates):
Ac1 0.0000 0.0000 0.0000
Ac2 0.0000 0.5000 0.5000
Ac3 0.5000 0.0000 0.5000
Ac4 0.5000 0.5000 0.0000
Cu1 0.2500 0.2500 0.2500
Cu2 0.2500 0.7500 0.7500
Cu3 0.7500 0.2500 0.7500
Cu4 0.7500 0.7500 0.2500
Ge1 0.0000 0.0000 0.5000
Ge2 0.0000 0.5000 0.0000
Ge3 0.5000 0.0000 0.0000
Ge4 0.5000 0.5000 0.5000

**Calculated formation energy**: -0.39 eV/atom
**ΔE to the lowest computed polymorph**: 210.2 meV per atom


# 10
HoAgC2O8 | PBE | optimized geometry

abc: 5.1920 5.1920 6.7002
angles: 90.00 90.00 120.00
Atoms (fractional coordinates):
Ho1 0.0000 0.0000 0.0000
Ag1 0.0000 0.0000 0.5000
C1 0.3333 0.6667 0.7212
C2 0.6667 0.3333 0.2788
O1 0.1882 0.3764 0.7854
O2 0.1882 0.8118 0.7854
O3 0.3333 0.6667 0.5160
O4 0.3764 0.1882 0.2146
O5 0.6236 0.8118 0.7854
O6 0.6667 0.3333 0.4840
O7 0.8118 0.1882 0.2146
O8 0.8118 0.6236 0.2146

**Formation energy from raw total energies**: -12.6 eV/f.u.


# 11
SrPrAsS | PBE | optimized geometry

abc: 4.3129 4.3129 21.2217
angles: 90.00 90.00 120.00
Atoms (fractional coordinates):
Sr1 0.0000 0.0000 0.0000
Sr2 0.3333 0.6667 0.6667
Sr3 0.6667 0.3333 0.3333
Pr1 0.0000 0.0000 0.4993
Pr2 0.3333 0.6667 0.1659
Pr3 0.6667 0.3333 0.8326
As1 0.0000 0.0000 0.7562
As2 0.3333 0.6667 0.4229
As3 0.6667 0.3333 0.0896
S1 0.0000 0.0000 0.2472
S2 0.3333 0.6667 0.9139
S3 0.6667 0.3333 0.5805

**Formation energy from raw total energies**: -6.9 eV/f.u.


# 12
Te3Se2 | PBE | optimized geometry

abc: 5.4008 5.4008 5.7980
angles: 90.00 90.00 120.00
Atoms (fractional coordinates):
Te1 0.0000 0.0000 0.0000
Te2 0.3333 0.6667 0.5000
Te3 0.6667 0.3333 0.5000
Se1 0.3333 0.6667 0.0000
Se2 0.6667 0.3333 0.0000

**Formation energy from raw total energies**: 1.5 eV/f.u.


Number 1: magnetization 0.00 μB per formula unit. Number 2: magnetization 0.43 μB per formula unit. Number 3: magnetization 0.00 μB per formula unit. Number 4: magnetization 6.91 μB per formula unit. Number 5: magnetization 0.00 μB per formula unit. Number 6: magnetization 3.95 μB per formula unit. Number 7: magnetization 0.00 μB per formula unit. Number 8: magnetization 0.00 μB per formula unit. Number 9: magnetization 0.00 μB per formula unit. Number 10: magnetization 4.02 μB per formula unit. Number 11: magnetization 0.00 μB per formula unit. Number 12: magnetization 0.00 μB per formula unit.